(1)
Compound: Sr2CaIn
Source: Alexandria
Functional: meta-GGA SCAN
Structure: single point on PBEsol structure

Cell and atoms, written as POSCAR:
```
Sr2CaIn
1.0
3.956 -3.961 0.000
3.956 3.961 0.000
0.000 0.000 4.616
Sr Ca In
2 1 1
Cartesian
1.978 1.981 0.000
1.978 -1.981 0.000
0.000 0.000 2.308
3.956 0.000 2.308
```

## Properties
energy of formation	-0.238	eV per atom
density	3.8	g/cm3

=====

(2)
Compound: SrCa2In2
Source: Alexandria
Functional: meta-GGA SCAN
Structure: single point on PBEsol structure

Cell and atoms, written as POSCAR:
```
SrCa2In2
1.0
8.877 0.000 0.000
0.000 8.877 0.000
0.000 0.000 4.079
Sr Ca In
2 4 4
Cartesian
0.000 0.000 0.000
4.439 4.439 0.000
1.511 2.928 2.039
2.928 7.366 2.039
5.950 1.511 2.039
7.366 5.950 2.039
1.099 5.538 0.000
3.340 1.099 0.000
5.538 7.779 0.000
7.779 3.340 0.000
```

## Properties
energy of formation	-0.473	eV per atom
density	4.1	g/cm3

=====

(3)
Compound: SrCa2In
Source: Alexandria
Functional: meta-GGA SCAN
Structure: single point on PBEsol structure

Cell and atoms, written as POSCAR:
```
SrCa2In
1.0
3.891 0.000 0.000
0.000 3.891 0.000
0.000 0.000 9.610
Sr Ca In
1 2 1
Cartesian
0.000 0.000 0.000
0.000 0.000 5.764
1.945 1.945 3.029
1.945 1.945 7.518
```

## Properties
energy of formation	-0.303	eV per atom
density	3.2	g/cm3